Compound: Tl3Ga2Au9
Source: Alexandria via LeMat-Bulk
Functional: GGA-PBE
Structure: optimized geometry

a = 8.905 Å, b = 8.905 Å, c = 8.905 Å
α = 153.54°, β = 100.86°, γ = 85.21°
Fractional positions:
Tl1 0.000 0.000 0.000
Tl2 0.309 0.309 0.000
Tl3 0.691 0.691 0.000
Ga1 0.257 0.500 0.757
Ga2 0.743 0.500 0.243
Au1 0.041 0.666 0.376
Au2 0.172 0.875 0.297
Au3 0.290 0.666 0.624
Au4 0.423 0.125 0.297
Au5 0.500 0.000 0.500
Au6 0.577 0.875 0.703
Au7 0.710 0.334 0.376
Au8 0.828 0.125 0.703
Au9 0.959 0.334 0.624

Energy relative to the elements   -0.4 eV per formula unit
E   -3.075 eV per atom
Total magnetization   0.00 Bohr magnetons per cell
D(E_F)   0.2614 states/eV per atom